# 1
A geometry-optimized SrRh3 structure, computed with PBE-GGA.

Output
For the calculated total energy, the calculation gives -23.13 eV/cell. Its space group is No. 12. The calculated formation energy is 0.60 eV/f.u.

abc: 4.8541 4.8541 5.5373
angles: 99.17 99.17 35.27
Last column: nearest neighbours and their distance in Å.
Atoms (fractional coordinates):
1 Sr 0.0000 0.0000 0.0000  2 Sr 2.94, 10 Rh 3.03-3.13
2 Rh 0.2386 0.2386 0.6858  5 Rh 2.57-2.78
3 Rh 0.5000 0.5000 0.5000  8 Rh 2.71-2.94
4 Rh 0.7614 0.7614 0.3142  5 Rh 2.57-2.78

---

# 2
A geometry-optimized TiAu3S structure, computed with PBE-GGA.

Output
As for the energy above the lowest structure with this stoichiometry: 0 meV/atom. For the calculated total energy, the calculation gives -18.76 eV/cell. Its space group is No. 221. As for the uncorrected formation energy: 619 meV per atom.

abc: 4.7560 4.7560 4.7560
angles: 90.00 90.00 90.00
Last column: nearest neighbours and their distance in Å.
Atoms (fractional coordinates):
1 Ti 0.0000 0.0000 0.0000  12 Au 3.36
2 Au 0.0000 0.5000 0.5000  2 S 2.38
3 Au 0.5000 0.0000 0.5000  2 S 2.38
4 Au 0.5000 0.5000 0.0000  2 S 2.38
5 S 0.5000 0.5000 0.5000  6 Au 2.38

---

# 3
A geometry-optimized CsTbCuBr5 structure, computed with PBE-GGA.

Output
For the calculated total energy, the calculation gives -59.03 eV/cell. Its space group is No. 15. As for the uncorrected formation energy: -1446 meV per atom.

abc: 7.9504 7.9504 10.6927
angles: 103.73 103.73 105.66
Last column: nearest neighbours and their distance in Å.
Atoms (fractional coordinates):
1 Cs 0.1511 0.8489 0.7500  5 Br 3.54-3.61
2 Cs 0.8489 0.1511 0.2500  5 Br 3.54-3.61
3 Tb 0.5000 0.5000 0.0000  6 Br 2.81-2.83
4 Tb 0.5000 0.5000 0.5000  6 Br 2.81-2.83
5 Cu 0.1918 0.8082 0.2500  4 Br 2.48-2.53
6 Cu 0.8082 0.1918 0.7500  4 Br 2.48-2.53
7 Br 0.1235 0.2771 0.9206  1 Cu 2.53
8 Br 0.1973 0.6060 0.3942  1 Cu 2.48
9 Br 0.2771 0.1235 0.4206  1 Cu 2.53
10 Br 0.3940 0.8027 0.1058  1 Cu 2.48
11 Br 0.4306 0.5694 0.7500  2 Tb 2.81
12 Br 0.5694 0.4306 0.2500  2 Tb 2.81
13 Br 0.6060 0.1973 0.8942  1 Cu 2.48
14 Br 0.7229 0.8765 0.5794  1 Cu 2.53
15 Br 0.8027 0.3940 0.6058  1 Cu 2.48
16 Br 0.8765 0.7229 0.0794  1 Cu 2.53

---

# 4
A geometry-optimized Ca3Al7Ga4 structure, computed with PBE-GGA.

Output
For the calculated total energy, the calculation gives -48.51 eV/cell. Its space group is No. 12. The calculated formation energy is -4.20 eV/f.u.

abc: 8.3033 8.3033 10.0072
angles: 124.23 124.23 29.87
Last column: nearest neighbours and their distance in Å.
Atoms (fractional coordinates):
1 Ca 0.0000 0.0000 0.0000  6 Ga 3.20-3.22, 6 Al 3.39-3.49
2 Ca 0.3123 0.3123 0.3095  4 Ga 3.11-3.14, 9 Al 3.17-3.36
3 Ca 0.6877 0.6877 0.6905  4 Ga 3.11-3.14, 9 Al 3.17-3.36
4 Al 0.0000 0.0000 0.5000  2 Ga 2.80, 6 Al 2.96-2.97
5 Al 0.1553 0.1553 0.4292  3 Ga 2.66-2.74, 3 Al 2.89-2.96
6 Al 0.3269 0.3269 0.9743  4 Ga 2.62-2.67, 1 Al 2.82
7 Al 0.4939 0.4939 0.7003  3 Ga 2.59-2.76, 3 Al 2.82-2.89
8 Al 0.5061 0.5061 0.2997  3 Ga 2.59-2.76, 3 Al 2.82-2.89
9 Al 0.6731 0.6731 0.0257  4 Ga 2.62-2.67, 1 Al 2.82
10 Al 0.8447 0.8447 0.5708  3 Ga 2.66-2.74, 3 Al 2.89-2.96
11 Ga 0.1269 0.1269 0.8447  6 Al 2.62-2.80
12 Ga 0.3429 0.3429 0.7271  5 Al 2.59-2.74
13 Ga 0.6571 0.6571 0.2729  5 Al 2.59-2.74
14 Ga 0.8731 0.8731 0.1553  6 Al 2.62-2.80

---

# 5
A geometry-optimized CaMg3Cu structure, computed with PBE-GGA.

Output
As for the energy above the lowest structure with this stoichiometry: 328 meV/atom. For the calculated total energy, the calculation gives -9.78 eV/cell. Its space group is No. 107. The calculated formation energy is 1.11 eV/f.u.

abc: 8.9650 8.9650 8.9650
angles: 154.29 154.29 36.67
Last column: nearest neighbours and their distance in Å.
Atoms (fractional coordinates):
1 Ca 0.0000 0.0000 0.0000  5 Mg 3.25-3.50
2 Mg 0.1687 0.6687 0.5000  2 Cu 2.80, 6 Mg 2.82-3.11
3 Mg 0.6687 0.1687 0.5000  2 Cu 2.80, 6 Mg 2.82-3.11
4 Mg 0.8089 0.8089 0.0000  4 Cu 2.85, 4 Mg 3.11
5 Cu 0.2839 0.2839 0.0000  8 Mg 2.80-2.85

---

# 6
A geometry-optimized MgAu2 structure, computed with PBE-GGA.

Output
For the calculated total energy, the calculation gives -8.78 eV/cell. Its space group is No. 123. The calculated formation energy is -0.63 eV/f.u.

abc: 4.6183 4.6183 2.9524
angles: 90.00 90.00 90.00
Last column: nearest neighbours and their distance in Å.
Atoms (fractional coordinates):
1 Mg 0.0000 0.0000 0.0000  8 Au 2.74, 2 Mg 2.95
2 Au 0.0000 0.5000 0.5000  4 Mg 2.74, 2 Au 2.95
3 Au 0.5000 0.0000 0.5000  4 Mg 2.74, 2 Au 2.95